An optimized crystal structure of Pm2Nd8Ho. Source: Alexandria, functional PBE.

Unit cell a=11.348 b=7.511 c=9.450 alpha=90.00 beta=106.69 gamma=90.00
Space group C2/m (No. 12)
Inequivalent atoms, fractional coordinates:
1 Pm 0.141 0.000 0.131 (multiplicity 4)
2 Nd 0.067 0.283 0.771 (multiplicity 8)
3 Nd 0.180 0.500 0.127 (multiplicity 4)
4 Nd 0.192 0.500 0.497 (multiplicity 4)
5 Ho 0.000 0.000 0.500 (multiplicity 2)

## Properties
Its offset from the most stable computed form is 0 kJ/mol of formula units. The formation energy is 0.119 eV/atom.

---

An optimized crystal structure of Pm2Nd2Ho15. Source: Alexandria, functional PBE.

Unit cell a=11.4481 b=11.4481 c=16.8937 alpha=90.00 beta=90.00 gamma=120.00
Space group R-3m (No. 166, hexagonal axes)
Inequivalent atoms, fractional coordinates:
1 Pm 0.0000 0.0000 0.1507 (multiplicity 6)
2 Nd 0.0000 0.0000 0.3872 (multiplicity 6)
3 Ho 0.0000 0.3421 0.5000 (multiplicity 18)
4 Ho 0.0000 0.5000 0.0000 (multiplicity 9)
5 Ho 0.0177 0.5088 0.6744 (multiplicity 18)

## Properties
The formation energy is 0.274 eV/atom.

---

An optimized crystal structure of PmNd5Ho4. Source: Alexandria, functional PBE.

Unit cell a=18.746 b=3.621 c=10.218 alpha=90.00 beta=106.23 gamma=90.00
Space group C2/m (No. 12)
Inequivalent atoms, fractional coordinates:
1 Pm 0.000 0.000 0.000 (multiplicity 2)
2 Nd 0.000 0.000 0.500 (multiplicity 2)
3 Nd 0.101 0.500 0.804 (multiplicity 4)
4 Nd 0.200 0.000 0.600 (multiplicity 4)
5 Ho 0.101 0.500 0.297 (multiplicity 4)
6 Ho 0.200 0.000 0.100 (multiplicity 4)

## Properties
Its offset from the most stable computed form is 0 kJ/mol of formula units. The formation energy is 0.015 eV/atom.